Entry 1:
This record from Alexandria describes crystalline FeRh2W at its relaxed geometry. The functional is GGA-PBE.

abc: 3.805 3.805 7.731
angles: 90.00 90.00 90.00
Space group I-4m2 (No. 119)
Asymmetric unit:
Fe (0.000, 0.000, 0.000) [2 per cell]
Rh (0.000, 0.000, 0.500) [2 per cell]
Rh (0.000, 0.500, 0.750) [2 per cell]
W (0.000, 0.500, 0.250) [2 per cell]

Properties
- ΔE to the lowest computed polymorph (meV per atom) = 82.1
- crystal system = tetragonal

Entry 2:
This record from Alexandria describes crystalline MgIn2P at its relaxed geometry. The functional is GGA-PBE.

abc: 5.814 7.737 4.007
angles: 90.00 90.00 90.00
Space group Cmmm (No. 65)
Asymmetric unit:
Mg (0.000, 0.000, 0.000) [2 per cell]
In (0.250, 0.250, 0.500) [4 per cell]
P (0.000, 0.500, 0.000) [2 per cell]

Properties
- ΔE to the lowest computed polymorph (meV per atom) = 214.5
- crystal system = orthorhombic

Entry 3:
This record from Alexandria describes crystalline Be2NiTeAs at its relaxed geometry. The functional is GGA-PBE.

abc: 4.192 4.192 4.970
angles: 90.00 90.00 90.00
Space group P4/mmm (No. 123)
Asymmetric unit:
Be (0.000, 0.500, 0.000) [2 per cell]
Ni (0.000, 0.000, 0.000) [1 per cell]
Te (0.000, 0.000, 0.500) [1 per cell]
As (0.500, 0.500, 0.500) [1 per cell]

Properties
- energy relative to the elements, uncorrected (kJ/mol of atoms) = 59.9
- crystal system = tetragonal

Entry 4:
This record from Alexandria describes crystalline Pm2HoThAs4 at its relaxed geometry. The functional is GGA-PBE.

abc: 7.276 4.216 7.301
angles: 90.00 109.45 90.00
Space group P2/m (No. 10)
Asymmetric unit:
Pm (0.000, 0.000, 0.000) [1 per cell]
Pm (0.500, 0.500, 0.000) [1 per cell]
Ho (0.000, 0.500, 0.500) [1 per cell]
Th (0.500, 0.000, 0.500) [1 per cell]
As (0.245, 0.000, 0.744) [2 per cell]
As (0.247, 0.500, 0.253) [2 per cell]

Properties
- crystal system = monoclinic

Entry 5:
This record from Alexandria describes crystalline LiEuHoTc at its relaxed geometry. The functional is GGA-PBE.

abc: 7.062 7.062 7.062
angles: 90.00 90.00 90.00
Space group F-43m (No. 216)
Asymmetric unit:
Li (0.000, 0.000, 0.000) [4 per cell]
Eu (0.250, 0.250, 0.750) [4 per cell]
Ho (0.250, 0.250, 0.250) [4 per cell]
Tc (0.000, 0.000, 0.500) [4 per cell]

Properties
- crystal system = cubic

Entry 6:
This record from Alexandria describes crystalline AcTb2DyY at its relaxed geometry. The functional is GGA-PBE.

abc: 6.396 5.834 9.780
angles: 90.00 108.76 90.00
Space group P2_1/m (No. 11)
Asymmetric unit:
Ac (0.070, 0.250, 0.302) [2 per cell]
Tb (0.275, 0.250, 0.705) [2 per cell]
Tb (0.466, 0.250, 0.095) [2 per cell]
Dy (0.339, 0.750, 0.501) [2 per cell]
Y (0.137, 0.750, 0.098) [2 per cell]

Properties
- crystal system = monoclinic

no.,total energy (eV/atom)
1,-9.11
2,-3.02
3,-3.58
4,-6.53
5,-6.58
6,-4.85